NaSmP4O12 PBE optimized geometry; E = -7.2823 eV/atom; space-group type = No. 14
1.0
7.294 0.000 0.000
0.000 13.325 0.000
-7.220 0.000 9.974
Na Sm P O
4 4 16 48
direct
0.063 0.223 0.063
0.063 0.277 0.563
0.937 0.723 0.437
0.937 0.777 0.937
0.466 0.222 0.978
0.466 0.278 0.478
0.534 0.722 0.522
0.534 0.778 0.022
0.007 0.602 0.258
0.007 0.898 0.758
0.110 0.615 0.734
0.110 0.885 0.234
0.342 0.626 0.197
0.342 0.874 0.697
0.435 0.092 0.704
0.435 0.408 0.204
0.565 0.592 0.796
0.565 0.908 0.296
0.658 0.126 0.303
0.658 0.374 0.803
0.890 0.115 0.766
0.890 0.385 0.266
0.993 0.102 0.242
0.993 0.398 0.742
0.066 0.513 0.784
0.066 0.987 0.284
0.094 0.624 0.167
0.094 0.876 0.667
0.097 0.149 0.899
0.097 0.351 0.399
0.191 0.613 0.405
0.191 0.887 0.905
0.204 0.164 0.297
0.204 0.336 0.797
0.215 0.686 0.850
0.215 0.814 0.350
0.292 0.581 0.706
0.292 0.919 0.206
0.323 0.706 0.104
0.323 0.794 0.604
0.348 0.161 0.587
0.348 0.339 0.087
0.355 0.519 0.141
0.355 0.981 0.641
0.372 0.114 0.797
0.372 0.386 0.297
0.479 0.135 0.155
0.479 0.365 0.655
0.521 0.635 0.345
0.521 0.865 0.845
0.628 0.614 0.703
0.628 0.886 0.203
0.645 0.019 0.359
0.645 0.481 0.859
0.652 0.661 0.913
0.652 0.839 0.413
0.677 0.206 0.396
0.677 0.294 0.896
0.708 0.081 0.794
0.708 0.419 0.294
0.785 0.186 0.650
0.785 0.314 0.150
0.796 0.664 0.203
0.796 0.836 0.703
0.809 0.113 0.095
0.809 0.387 0.595
0.903 0.649 0.601
0.903 0.851 0.101
0.906 0.124 0.333
0.906 0.376 0.833
0.934 0.013 0.716
0.934 0.487 0.216